Below is a geometry-optimized Ce2PuI6 structure, with properties calculated at the GGA-PBE level.

Calculated values
raw formation energy	-1.184	eV/atom

a b c (Å): 4.300 9.076 11.068
angles (deg): 111.70 90.00 103.70
Each line ends with the local moment (μB).
Sites, in units of the cell vectors:
1 Pu 0.000 0.000 0.500  5.68
2 Ce 0.324 0.648 0.152  1.39
3 I 0.031 0.061 0.802  -0.02
4 I 0.314 0.628 0.856  -0.02
5 I 0.639 0.278 0.537  -0.04
6 I 0.361 0.722 0.463  -0.04
7 I 0.969 0.939 0.198  -0.02
8 I 0.686 0.372 0.144  -0.02
9 Ce 0.676 0.352 0.848  1.39

Below is a geometry-optimized Pm2CdAg3 structure, with properties calculated at the GGA-PBE level.

Calculated values
energy of formation from the pure elements	-0.282	eV per atom

a b c (Å): 5.965 5.965 9.183
angles (deg): 102.19 102.19 110.47
Sites, in units of the cell vectors:
1 Pm 0.753 0.753 0.000
2 Ag 0.833 0.333 0.166
3 Pm 0.750 0.250 0.500
4 Pm 0.250 0.750 0.500
5 Ag 0.333 0.833 0.166
6 Ag 0.667 0.167 0.834
7 Pm 0.247 0.247 0.000
8 Ag 0.166 0.166 0.333
9 Ag 0.834 0.834 0.667
10 Cd 0.666 0.666 0.333
11 Ag 0.167 0.667 0.834
12 Cd 0.334 0.334 0.667

Below is a geometry-optimized VCr2Re structure, with properties calculated at the GGA-PBE level.

Calculated values
energy of formation from the pure elements	-0.124	eV per atom

a b c (Å): 2.953 2.953 5.902
angles (deg): 90.00 90.00 90.00
Sites, in units of the cell vectors:
1 Cr 0.000 0.000 0.256
2 V 0.500 0.500 0.500
3 Cr 0.000 0.000 0.744
4 Re 0.500 0.500 0.000

Below is a geometry-optimized MgSiTe2 structure, with properties calculated at the GGA-PBE level.

Calculated values
raw formation energy	0.111	eV/atom

a b c (Å): 5.160 5.160 5.160
angles (deg): 60.00 60.00 60.00
Sites, in units of the cell vectors:
1 Te 0.750 0.750 0.750
2 Te 0.250 0.250 0.250
3 Si 0.500 0.500 0.500
4 Mg 0.000 0.000 0.000

Below is a geometry-optimized CaMg2ScGe structure, with properties calculated at the GGA-PBE level.

Calculated values
energy of formation from the pure elements	1.225	eV per atom

a b c (Å): 5.464 5.464 5.418
angles (deg): 90.00 90.00 90.00
Sites, in units of the cell vectors:
1 Ca 0.000 0.000 0.000
2 Ge 0.500 0.500 0.500
3 Mg 0.000 0.500 0.000
4 Mg 0.500 0.000 0.000
5 Sc 0.000 0.000 0.500

Below is a geometry-optimized ScCuRe2 structure, with properties calculated at the GGA-PBE level.

Calculated values
energy of formation from the pure elements	0.147	eV per atom

a b c (Å): 5.056 5.056 4.691
angles (deg): 78.00 78.00 32.10
Sites, in units of the cell vectors:
1 Sc 0.750 0.750 0.750
2 Re 0.517 0.517 0.489
3 Re 0.983 0.983 0.011
4 Cu 0.250 0.250 0.250

Below is a geometry-optimized Rb2BaSr structure, with properties calculated at the GGA-PBE level.

Calculated values
energy of formation from the pure elements	0.154	eV per atom

a b c (Å): 7.321 6.217 6.217
angles (deg): 90.00 90.00 90.00
Sites, in units of the cell vectors:
1 Sr 0.500 0.000 0.000
2 Rb 0.000 0.000 0.500
3 Ba 0.500 0.500 0.500
4 Rb 0.000 0.500 0.000

Below is a geometry-optimized GaSb2Pd6 structure, with properties calculated at the GGA-PBE level.

Calculated values
raw formation energy	-0.532	eV/atom

a b c (Å): 3.416 7.158 7.159
angles (deg): 120.00 90.00 90.00
Sites, in units of the cell vectors:
1 Ga 0.500 0.000 0.000
2 Pd 0.500 0.381 0.381
3 Pd 0.000 0.265 0.000
4 Pd 0.000 0.000 0.265
5 Sb 0.000 0.333 0.667
6 Pd 0.500 0.000 0.619
7 Sb 0.000 0.667 0.333
8 Pd 0.000 0.735 0.735
9 Pd 0.500 0.619 0.000